! K3Hg8Pb PBE relaxed; values from VASP
&SYSTEM
  ibrav = 0, nat = 12, ntyp = 3
/
ATOMIC_SPECIES
K 39.10 K.upf
Hg 200.59 Hg.upf
Pb 207.20 Pb.upf
CELL_PARAMETERS angstrom
3.150 1.819 10.522
-3.150 1.819 10.522
0.000 -3.638 10.522
ATOMIC_POSITIONS crystal
K 0.000 0.000 0.000
K 0.129 0.129 0.129
K 0.508 0.508 0.508
Hg 0.063 0.567 0.567
Hg 0.067 0.067 0.567
Hg 0.067 0.567 0.067
Hg 0.316 0.316 0.316
Hg 0.567 0.063 0.567
Hg 0.567 0.067 0.067
Hg 0.567 0.567 0.063
Hg 0.817 0.817 0.817
Pb 0.626 0.626 0.626
! Magnetization   0.000 μB per formula unit
! Space group   No. 160
! Total DFT energy (no corrections)   -11.292 eV/f.u.
! Calculated formation energy   -0.156 eV per atom